VASP calculation (PBE-GGA) on CoH3Pt after structural relaxation.

Total moment ... 0.0 μB per cell
E_tot ... -4.3559 eV/atom

Cell lengths 3.259, 3.259, 3.259 Å; angles 90.00, 90.00, 90.00 degrees
Space group Pm-3m (No. 221)
Unique sites:
1 Co 0.000 0.000 0.000
2 H 0.000 0.000 0.500
3 Pt 0.500 0.500 0.500

=====

VASP calculation (PBE-GGA) on Co3HPt after structural relaxation.

Polymorph energy (0 for the lowest one) ... 0.00 eV per formula unit
Total moment ... 5.0 μB per cell
E_tot ... -6.1790 eV/atom

Cell lengths 3.695, 3.695, 3.695 Å; angles 90.00, 90.00, 90.00 degrees
Space group Pm-3m (No. 221)
Unique sites:
1 Co 0.000 0.000 0.500
2 H 0.000 0.000 0.000
3 Pt 0.500 0.500 0.500

=====

VASP calculation (PBE-GGA) on Co2H2Pt after structural relaxation.

Polymorph energy (0 for the lowest one) ... 0.99 eV per formula unit
Total moment ... 6.0 μB per cell
E_tot ... -5.0943 eV/atom

Cell lengths 5.799, 5.799, 2.638 Å; angles 90.00, 90.00, 90.00 degrees
Space group P4/mbm (No. 127)
Unique sites:
1 Co 0.139 0.361 0.000
2 H 0.105 0.605 0.500
3 Pt 0.000 0.000 0.500

=====

VASP calculation (PBE-GGA) on Co2HPt after structural relaxation.

Polymorph energy (0 for the lowest one) ... 0.04 eV per formula unit
Total moment ... 10.1 μB per cell
E_tot ... -5.9205 eV/atom

Cell lengths 2.6827, 2.6827, 19.2539 Å; angles 90.00, 90.00, 120.00 degrees
Space group R3m (No. 160, hexagonal axes)
Unique sites:
1 Co 0.0000 0.0000 0.0000
2 Co 0.0000 0.0000 0.2291
3 H 0.0000 0.0000 0.6150
4 Pt 0.0000 0.0000 0.4476

=====

VASP calculation (PBE-GGA) on CoRe2HPt after structural relaxation.

Total moment ... 1.1 μB per cell
E_tot ... -8.1423 eV/atom

Cell lengths 3.859, 3.859, 3.919 Å; angles 90.00, 90.00, 90.00 degrees
Space group P4/mmm (No. 123)
Unique sites:
1 Co 0.000 0.000 0.000
2 Re 0.000 0.500 0.500
3 H 0.000 0.000 0.500
4 Pt 0.500 0.500 0.000

=====

VASP calculation (PBE-GGA) on Co2ReHPt after structural relaxation.

Total moment ... 2.5 μB per cell
E_tot ... -7.0841 eV/atom

Cell lengths 3.797, 3.797, 3.755 Å; angles 90.00, 90.00, 90.00 degrees
Space group P4/mmm (No. 123)
Unique sites:
1 Co 0.000 0.500 0.000
2 Re 0.000 0.000 0.500
3 H 0.000 0.000 0.000
4 Pt 0.500 0.500 0.500

=====

VASP calculation (PBE-GGA) on Co2HPtRh after structural relaxation.

Polymorph energy (0 for the lowest one) ... 0.00 eV per formula unit
Total moment ... 4.6 μB per cell
E_tot ... -6.2049 eV/atom

Cell lengths 3.826, 3.826, 3.743 Å; angles 90.00, 90.00, 90.00 degrees
Space group P4/mmm (No. 123)
Unique sites:
1 Co 0.000 0.500 0.000
2 H 0.000 0.000 0.000
3 Pt 0.500 0.500 0.500
4 Rh 0.000 0.000 0.500

=====

VASP calculation (PBE-GGA) on CoHPtRh2 after structural relaxation.

Polymorph energy (0 for the lowest one) ... 0.00 eV per formula unit
Total moment ... 2.7 μB per cell
E_tot ... -6.2441 eV/atom

Cell lengths 3.872, 3.872, 3.852 Å; angles 90.00, 90.00, 90.00 degrees
Space group P4/mmm (No. 123)
Unique sites:
1 Co 0.000 0.000 0.000
2 H 0.000 0.000 0.500
3 Pt 0.500 0.500 0.000
4 Rh 0.000 0.500 0.500

=====

VASP calculation (PBE-GGA) on CoHPtRh2 after structural relaxation.

Polymorph energy (0 for the lowest one) ... 0.31 eV per formula unit
Total moment ... 3.2 μB per cell
E_tot ... -6.1823 eV/atom

Cell lengths 3.886, 3.886, 3.898 Å; angles 90.00, 90.00, 90.00 degrees
Space group P4/mmm (No. 123)
Unique sites:
1 Co 0.000 0.000 0.000
2 H 0.500 0.500 0.500
3 Pt 0.500 0.500 0.000
4 Rh 0.000 0.500 0.500

=====

VASP calculation (PBE-GGA) on Co2HPtRh after structural relaxation.

Polymorph energy (0 for the lowest one) ... 0.35 eV per formula unit
Total moment ... 4.7 μB per cell
E_tot ... -6.1349 eV/atom

Cell lengths 3.832, 3.832, 3.755 Å; angles 90.00, 90.00, 90.00 degrees
Space group P4/mmm (No. 123)
Unique sites:
1 Co 0.000 0.500 0.000
2 H 0.000 0.000 0.000
3 Pt 0.000 0.000 0.500
4 Rh 0.500 0.500 0.500